1.
Crystalline LiPd3F at its relaxed geometry, computed with GGA-PBE.

Cell: 2.719 6.324 8.115 Å, 90.00 90.00 90.00°
Space group Amm2 (No. 38)
Unique sites:
Li: 0.000 0.000 0.000 x2
Pd: 0.000 0.000 0.468 x2
Pd: 0.500 0.206 0.208 x4
F: 0.000 0.000 0.789 x2

***

2.
Crystalline LiPdF2 at its relaxed geometry, computed with GGA-PBE.

Cell: 2.7970 2.7970 18.3801 Å, 90.00 90.00 120.00°
Space group R-3m (No. 166, hexagonal axes)
Unique sites:
Li: 0.0000 0.0000 0.0000 x3
Pd: 0.0000 0.0000 0.5000 x3
F: 0.0000 0.0000 0.3916 x6

Values from the calculation:
- Energy relative to the lowest polymorph listed for this composition: 0.0 meV/atom

***

3.
Crystalline Rb2LiPdF6 at its relaxed geometry, computed with GGA-PBE.

Cell: 5.741 5.744 8.135 Å, 90.02 90.00 90.04°
Space group P-1 (No. 2)
Unique sites:
Rb: 0.000 0.000 0.250 x2
Rb: 0.500 0.500 0.250 x2
Li: 0.000 0.500 0.000 x1
Li: 0.500 0.000 0.500 x1
Pd: 0.000 0.500 0.500 x1
Pd: 0.500 0.000 0.000 x1
F: 0.001 0.500 0.248 x2
F: 0.243 0.752 0.999 x2
F: 0.250 0.246 0.500 x2
F: 0.252 0.255 0.000 x2
F: 0.255 0.750 0.501 x2
F: 0.499 0.000 0.251 x2

Values from the calculation:
- Energy relative to the lowest polymorph listed for this composition: 0.0 meV/atom

***

4.
Crystalline Rb2LiPdF6 at its relaxed geometry, computed with GGA-PBE.

Cell: 5.714 5.714 8.148 Å, 90.00 90.00 90.00°
Space group I4/m (No. 87)
Unique sites:
Rb: 0.000 0.500 0.250 x4
Li: 0.000 0.000 0.000 x2
Pd: 0.000 0.000 0.500 x2
F: 0.000 0.000 0.250 x4
F: 0.244 0.249 0.000 x8

Values from the calculation:
- Energy relative to the lowest polymorph listed for this composition: 5.1 meV/atom

***

5.
Crystalline Rb2LiPdF6 at its relaxed geometry, computed with GGA-PBE.

Cell: 8.125 8.125 8.125 Å, 90.00 90.00 90.00°
Space group Fm-3m (No. 225)
Unique sites:
Rb: 0.250 0.250 0.250 x8
Li: 0.000 0.000 0.000 x4
Pd: 0.000 0.000 0.500 x4
F: 0.000 0.000 0.248 x24

Values from the calculation:
- Energy relative to the lowest polymorph listed for this composition: 0.0 meV/atom

***

6.
Crystalline Rb2LiPdF6 at its relaxed geometry, computed with GGA-PBE.

Cell: 5.7116 5.7116 14.0373 Å, 90.00 90.00 120.00°
Space group R-3 (No. 148, hexagonal axes)
Unique sites:
Rb: 0.0000 0.0000 0.2500 x6
Li: 0.0000 0.0000 0.0000 x3
Pd: 0.0000 0.0000 0.5000 x3
F: 0.0028 0.5005 0.7490 x18

Values from the calculation:
- Energy relative to the lowest polymorph listed for this composition: 9.1 meV/atom

***

7.
Crystalline Rb2LiPtF6 at its relaxed geometry, computed with GGA-PBE.

Cell: 5.7682 5.7682 14.1116 Å, 90.00 90.00 120.00°
Space group R-3m (No. 166, hexagonal axes)
Unique sites:
Rb: 0.0000 0.0000 0.2500 x6
Li: 0.0000 0.0000 0.0000 x3
Pt: 0.0000 0.0000 0.5000 x3
F: 0.0050 0.5025 0.7483 x18

Values from the calculation:
- Energy relative to the lowest polymorph listed for this composition: 14.6 meV/atom

***

8.
Crystalline Rb2LiPtF6 at its relaxed geometry, computed with GGA-PBE.

Cell: 8.082 8.092 5.777 Å, 90.00 134.37 90.00°
Space group C2/m (No. 12)
Unique sites:
Rb: 0.000 0.250 0.000 x4
Li: 0.000 0.000 0.500 x2
Pt: 0.000 0.500 0.500 x2
F: 0.000 0.253 0.500 x4
F: 0.231 0.000 0.960 x4
F: 0.249 0.500 0.503 x4

Values from the calculation:
- Energy relative to the lowest polymorph listed for this composition: 0.0 meV/atom

***

Calculated calculated total energy (eV per atom), listed in the same order as above: -4.318, -4.603, -4.236, -4.231, -4.236, -4.227, -4.273, -4.287